Material: In3Rh
Method: DFT, GGA-PBE
State: optimized geometry

Results
Calculated density ... 9.1 g cm⁻³
Crystal system ... tetragonal
DOS(E_F) ... 3.6 states/eV/f.u.
ΔH_f (0 K) ... 0.013 eV per atom

Unit cell a=5.3212 b=5.3212 c=5.3212 alpha=131.92 beta=131.92 gamma=70.36
Fractional coordinates of all 4 atoms:
In: 0.0000 0.0000 0.0000
In: 0.2500 0.7500 0.5000
In: 0.7500 0.2500 0.5000
Rh: 0.5000 0.5000 0.0000

---

Material: In3Rh5
Method: DFT, GGA-PBE
State: optimized geometry

Results
Calculated density ... 10.9 g cm⁻³
Crystal system ... orthorhombic
Energy above the lowest structure with this stoichiometry ... 0.000 kcal/mol of atoms
DOS(E_F) ... 5.6 states/eV/f.u.
ΔH_f (0 K) ... -0.254 eV per atom

Unit cell a=5.5558 b=5.5558 c=4.3160 alpha=90.00 beta=90.00 gamma=101.58
Fractional coordinates of all 8 atoms:
In: 0.0000 0.0000 0.0000
In: 0.2726 0.7274 0.5000
In: 0.7274 0.2726 0.5000
Rh: 0.0000 0.5000 0.0000
Rh: 0.2315 0.2315 0.5000
Rh: 0.5000 0.0000 0.0000
Rh: 0.5000 0.5000 0.0000
Rh: 0.7685 0.7685 0.5000

---

Material: InRh
Method: DFT, GGA-PBE
State: optimized geometry

Results
Calculated density ... 9.4 g cm⁻³
Crystal system ... trigonal
DOS(E_F) ... 2.1 states/eV/f.u.
ΔH_f (0 K) ... -0.115 eV per atom

Unit cell a=5.2078 b=5.2078 c=5.2078 alpha=50.40 beta=50.40 gamma=50.40
Fractional coordinates of all 4 atoms:
In: 0.1079 0.1079 0.1079
In: 0.8921 0.8921 0.8921
Rh: 0.3104 0.3104 0.3104
Rh: 0.6896 0.6896 0.6896